# 1
A geometry-optimized ErBePt structure. Source: Alexandria, functional PBE.

Summary:
- VASP energy: -5.67 eV per atom
- Total magnetic moment: 0.00 μB/f.u.
- ΔH_f (0 K): -0.89 eV/atom
- Excess energy over the best structure of this formula in the dataset: 0 meV/atom

Cell: 6.7495 4.0385 7.4855 Å, 90.00 90.00 90.00°
With the nearest neighbours (Å) after each atom.
Space group Pnma (No. 62)
Inequivalent atoms, fractional coordinates:
1 Er 0.0128 0.2500 0.1917 [4 per cell]  5 Be 2.84-3.07, 6 Pt 2.98-3.05
2 Be 0.1887 0.7500 0.4063 [4 per cell]  3 Pt 2.36-2.47
3 Pt 0.1762 0.2500 0.5695 [4 per cell]  3 Be 2.36-2.47

# 2
A geometry-optimized Er2BePt6 structure. Source: Alexandria, functional PBE.

Summary:
- VASP energy: -6.53 eV per atom
- Total magnetic moment: 0.00 μB/f.u.
- ΔH_f (0 K): -1.08 eV/atom
- Excess energy over the best structure of this formula in the dataset: 0 meV/atom

Cell: 10.2105 5.9430 5.9494 Å, 90.00 124.08 90.00°
With the nearest neighbours (Å) after each atom.
Space group C2/m (No. 12)
Inequivalent atoms, fractional coordinates:
1 Er 0.2497 0.0000 0.2448 [4 per cell]  12 Pt 2.95-3.01
2 Be 0.0000 0.5000 0.0000 [2 per cell]  6 Pt 2.20-2.21
3 Pt 0.0022 0.2388 0.2638 [8 per cell]  1 Be 2.20
4 Pt 0.2390 0.0000 0.7346 [4 per cell]  1 Be 2.21